DFT (PBE) results for an optimized crystal structure of CeNiSb2Rh2.

Computed properties:
For the energy relative to the elements, uncorrected, the calculation gives -199 meV/atom. Its total DFT energy (no corrections) is -35.85 eV per cell.

a b c (Å): 4.819 4.819 5.441
angles (deg): 90.00 90.00 90.00
Atoms (fractional coordinates):
Ce  0.000  0.000  0.500
Ni  0.000  0.000  0.000
Sb  0.500  0.000  0.000
Sb  0.000  0.500  0.000
Rh  0.500  0.500  0.738
Rh  0.500  0.500  0.262



DFT (PBE) results for an optimized crystal structure of CeNiSbRh.

Computed properties:
For the energy relative to the elements, uncorrected, the calculation gives -534 meV/atom. Its total DFT energy (no corrections) is -25.33 eV per cell.

a b c (Å): 4.733 4.733 4.733
angles (deg): 60.00 60.00 60.00
Atoms (fractional coordinates):
Sb  0.500  0.500  0.500
Rh  0.750  0.750  0.750
Ce  0.000  0.000  0.000
Ni  0.250  0.250  0.250



DFT (PBE) results for an optimized crystal structure of Ce2NiSb3Rh4.

Computed properties:
For the energy relative to the elements, uncorrected, the calculation gives -695 meV/atom. Its total DFT energy (no corrections) is -66.37 eV per cell.

a b c (Å): 4.146 4.146 11.707
angles (deg): 90.00 90.00 90.00
Atoms (fractional coordinates):
Ce  0.500  0.000  0.275
Ce  0.000  0.500  0.725
Ni  0.500  0.500  0.500
Sb  0.000  0.000  0.500
Sb  0.500  0.000  0.866
Sb  0.000  0.500  0.134
Rh  0.500  0.500  0.000
Rh  0.000  0.000  0.000
Rh  0.500  0.000  0.647
Rh  0.000  0.500  0.353



DFT (PBE) results for an optimized crystal structure of CeScNiRh.

Computed properties:
The value obtained for the formation energy is -51.1 kJ per mole of atoms. Its total DFT energy (no corrections) is -27.52 eV per cell.

a b c (Å): 4.739 4.739 4.739
angles (deg): 60.00 60.00 60.00
Atoms (fractional coordinates):
Sc  0.250  0.250  0.250
Ni  0.500  0.500  0.500
Rh  0.000  0.000  0.000
Ce  0.750  0.750  0.750



DFT (PBE) results for an optimized crystal structure of CeSiNiRh.

Computed properties:
For the energy relative to the elements, uncorrected, the calculation gives -501 meV/atom. Its total DFT energy (no corrections) is -26.49 eV per cell.

a b c (Å): 4.361 3.749 4.871
angles (deg): 112.63 90.00 90.00
Atoms (fractional coordinates):
Ce  0.500  0.218  0.437
Si  0.000  0.596  0.192
Ni  0.000  0.932  0.863
Rh  0.500  0.482  0.964



DFT (PBE) results for an optimized crystal structure of CeSi2NiRh2.

Computed properties:
For the energy relative to the elements, uncorrected, the calculation gives -508 meV/atom. Its total DFT energy (no corrections) is -40.31 eV per cell.

a b c (Å): 4.309 4.309 5.445
angles (deg): 90.00 90.00 90.00
Atoms (fractional coordinates):
Ce  0.000  0.000  0.500
Si  0.500  0.000  0.000
Si  0.000  0.500  0.000
Ni  0.000  0.000  0.000
Rh  0.500  0.500  0.748
Rh  0.500  0.500  0.252



DFT (PBE) results for an optimized crystal structure of Ce2Si3Ni12Rh.

Computed properties:
For the energy relative to the elements, uncorrected, the calculation gives -128 meV/atom. Its total DFT energy (no corrections) is -107.17 eV per cell.

a b c (Å): 6.273 6.273 6.273
angles (deg): 83.88 83.88 83.88
Atoms (fractional coordinates):
Ce  0.656  0.656  0.656
Ce  0.344  0.344  0.344
Si  0.500  0.000  0.000
Si  0.000  0.500  0.000
Si  0.000  0.000  0.500
Ni  0.382  0.382  0.907
Ni  0.804  0.804  0.314
Ni  0.314  0.804  0.804
Ni  0.907  0.382  0.382
Ni  0.804  0.314  0.804
Ni  0.382  0.907  0.382
Ni  0.618  0.618  0.093
Ni  0.196  0.196  0.686
Ni  0.686  0.196  0.196
Ni  0.093  0.618  0.618
Ni  0.196  0.686  0.196
Ni  0.618  0.093  0.618
Rh  0.000  0.000  0.000



DFT (PBE) results for an optimized crystal structure of CeSi2NiRh5.

Computed properties:
For the energy relative to the elements, uncorrected, the calculation gives -354 meV/atom. Its total DFT energy (no corrections) is -62.51 eV per cell.

a b c (Å): 4.500 4.500 7.126
angles (deg): 90.00 90.00 90.00
Atoms (fractional coordinates):
Ce  0.000  0.000  0.500
Si  0.500  0.500  0.165
Si  0.500  0.500  0.835
Ni  0.000  0.000  0.000
Rh  0.000  0.500  0.220
Rh  0.500  0.000  0.220
Rh  0.000  0.500  0.780
Rh  0.500  0.000  0.780
Rh  0.500  0.500  0.500



What did the fifth record say?
DFT (PBE) results for an optimized crystal structure of CeSiNiRh.

Computed properties:
For the energy relative to the elements, uncorrected, the calculation gives -501 meV/atom. Its total DFT energy (no corrections) is -26.49 eV per cell.

a b c (Å): 4.361 3.749 4.871
angles (deg): 112.63 90.00 90.00
Atoms (fractional coordinates):
Ce  0.500  0.218  0.437
Si  0.000  0.596  0.192
Ni  0.000  0.932  0.863
Rh  0.500  0.482  0.964



> What is the total DFT energy (no corrections) in the seventh record?

-107.17 eV per cell